A plane-wave DFT calculation with GGA-PBE was carried out for TcMo2P after structural relaxation.

a = 3.0601 Å, b = 3.0601 Å, c = 6.2417 Å
α = 90.00°, β = 90.00°, γ = 90.00°
Last column: nearest neighbours and their distance in Å.
Fractional coordinates of all 4 atoms:
Mo1 0.0000 0.0000 0.9853  4 Tc 2.62, 4 Mo 2.86
Tc1 0.5000 0.5000 0.7474  5 Mo 2.62-2.89, 4 P 2.72
P1 0.0000 0.0000 0.4827  4 Mo 2.49, 4 Tc 2.72
Mo2 0.5000 0.5000 0.2846  4 P 2.49

Output
- energy of formation from the pure elements (kJ per mole of atoms) = -9
- magnetization (μB/atom) = 0.000

A plane-wave DFT calculation with GGA-PBE was carried out for LiCe2Si3 after structural relaxation.

a = 5.8324 Å, b = 5.8324 Å, c = 8.2395 Å
α = 110.50°, β = 110.50°, γ = 90.61°
Last column: nearest neighbours and their distance in Å.
Fractional coordinates of all 12 atoms:
Si1 0.1655 0.1655 0.3311  2 Si 2.39, 1 Li 2.41
Ce1 0.2446 0.2446 0.0000  10 Si 3.10-3.18, 2 Li 3.16
Ce2 0.7500 0.2500 0.5000  8 Si 3.15-3.16, 4 Li 3.15
Ce3 0.7554 0.7554 0.0000  10 Si 3.10-3.18, 2 Li 3.16
Si2 0.8345 0.8345 0.6689  2 Si 2.39, 1 Li 2.41
Li1 0.6659 0.6659 0.3319  3 Si 2.39-2.41
Ce4 0.2500 0.7500 0.5000  8 Si 3.15-3.16, 4 Li 3.15
Li2 0.3341 0.3341 0.6681  3 Si 2.39-2.41
Si3 0.3326 0.8329 0.1655  2 Si 2.37-2.39, 1 Li 2.39
Si4 0.8329 0.3326 0.1655  2 Si 2.37-2.39, 1 Li 2.39
Si5 0.6674 0.1671 0.8345  2 Si 2.37-2.39, 1 Li 2.39
Si6 0.1671 0.6674 0.8345  2 Si 2.37-2.39, 1 Li 2.39

Output
- magnetization (μB/atom) = 0.262
- raw formation energy (eV per atom) = -0.590

A plane-wave DFT calculation with GGA-PBE was carried out for Zr2TiIrO after structural relaxation.

a = 4.4657 Å, b = 4.4657 Å, c = 3.9989 Å
α = 90.00°, β = 90.00°, γ = 90.00°
Last column: nearest neighbours and their distance in Å.
Fractional coordinates of all 5 atoms:
Zr1 0.0000 0.5000 0.0000  2 O 2.23
Zr2 0.5000 0.0000 0.0000  2 O 2.23
O1 0.0000 0.0000 0.0000  2 Ti 2.00, 4 Zr 2.23
Ti1 0.0000 0.0000 0.5000  2 O 2.00
Ir1 0.5000 0.5000 0.5000  8 Zr 3.00, 4 Ti 3.16

Output
- magnetization (μB/atom) = 0.095
- raw formation energy (eV per atom) = -1.327

A plane-wave DFT calculation with GGA-PBE was carried out for MgAsP3 after structural relaxation.

a = 4.7353 Å, b = 4.7353 Å, c = 4.7353 Å
α = 90.00°, β = 90.00°, γ = 90.00°
Last column: nearest neighbours and their distance in Å.
Fractional coordinates of all 5 atoms:
P1 0.0000 0.0000 0.5000  2 As 2.37
P2 0.0000 0.5000 0.0000  2 As 2.37
P3 0.5000 0.0000 0.0000  2 As 2.37
Mg1 0.5000 0.5000 0.5000  12 P 3.35
As1 0.0000 0.0000 0.0000  6 P 2.37

Output
- distance to the lowest polymorph of the same formula (meV/atom) = 0
- energy of formation from the pure elements (kJ per mole of atoms) = 73
- magnetization (μB/atom) = 0.000

A plane-wave DFT calculation with GGA-PBE was carried out for ReRuBr2 after structural relaxation.

a = 4.5322 Å, b = 4.5322 Å, c = 4.5322 Å
α = 60.00°, β = 60.00°, γ = 60.00°
Last column: nearest neighbours and their distance in Å.
Fractional coordinates of all 4 atoms:
Re1 0.5000 0.5000 0.5000  8 Br 2.78
Ru1 0.0000 0.0000 0.0000  8 Br 2.78
Br1 0.7500 0.7500 0.7500  4 Ru 2.78, 4 Re 2.78
Br2 0.2500 0.2500 0.2500  4 Re 2.78, 4 Ru 2.78

Output
- distance to the lowest polymorph of the same formula (meV/atom) = 1144
- magnetization (μB/atom) = 0.000
- raw formation energy (eV per atom) = 1.414

A plane-wave DFT calculation with GGA-PBE was carried out for BaDyMg17 after structural relaxation.

a = 7.9022 Å, b = 7.9022 Å, c = 7.9022 Å
α = 82.45°, β = 82.45°, γ = 82.45°
Last column: nearest neighbours and their distance in Å.
Fractional coordinates of all 19 atoms:
Mg1 0.9049 0.9049 0.9049  4 Mg 3.02-3.18
Mg2 0.3459 0.8550 0.3459  9 Mg 3.00-3.20
Mg3 0.1016 0.1016 0.1016  7 Mg 3.02-3.20
Mg4 0.9978 0.9978 0.5026  10 Mg 3.00-3.19
Mg5 0.9978 0.5026 0.9978  10 Mg 3.00-3.19
Mg6 0.6989 0.0047 0.2967  8 Mg 3.00-3.25
Mg7 0.5026 0.9978 0.9978  10 Mg 3.00-3.19
Ba1 0.6639 0.6639 0.6639  19 Mg 3.70-3.96
Mg8 0.1689 0.6436 0.6436  8 Mg 3.00-3.25
Mg9 0.8550 0.3459 0.3459  9 Mg 3.00-3.20
Mg10 0.2967 0.0047 0.6989  8 Mg 3.00-3.25
Mg11 0.6989 0.2967 0.0047  8 Mg 3.00-3.25
Mg12 0.3459 0.3459 0.8550  9 Mg 3.00-3.20
Mg13 0.6436 0.1689 0.6436  8 Mg 3.00-3.25
Mg14 0.0047 0.6989 0.2967  8 Mg 3.00-3.25
Mg15 0.0047 0.2967 0.6989  8 Mg 3.00-3.25
Dy1 0.3279 0.3279 0.3279  13 Mg 3.48-3.74
Mg16 0.6436 0.6436 0.1689  8 Mg 3.00-3.25
Mg17 0.2967 0.6989 0.0047  8 Mg 3.00-3.25

Output
- energy of formation from the pure elements (kJ per mole of atoms) = -3
- magnetization (μB/atom) = 0.000

Total energy / eV/atom: -9.457, -5.598, -9.089, -3.739, -4.854, -1.806